Entry A
Below is a relaxed structure of Pm4Zn3Pd, with properties calculated at the PBE-GGA level.

**SG**: P4/mmm, No. 123
**Calculated density**: 7.562 g cm⁻³

Cell lengths 3.6718, 3.6718, 14.3756 Å; angles 90.00, 90.00, 90.00 degrees
Last column: nearest neighbours and their distance in Å.
Element x y z (fractional)
Pm 0.0000 0.0000 0.3741  8 Zn 3.15-3.16
Pm 0.0000 0.0000 0.8797  4 Pd 3.12, 4 Zn 3.20, 1 Pm 3.46
Pm 0.0000 0.0000 0.1203  4 Pd 3.12, 4 Zn 3.20, 1 Pm 3.46
Pm 0.0000 0.0000 0.6259  8 Zn 3.15-3.16
Pd 0.5000 0.5000 0.0000  8 Pm 3.12
Zn 0.5000 0.5000 0.5000  8 Pm 3.16
Zn 0.5000 0.5000 0.2498  8 Pm 3.15-3.20
Zn 0.5000 0.5000 0.7502  8 Pm 3.15-3.20



Entry B
Below is a relaxed structure of Pm4Zn3Pd, with properties calculated at the PBE-GGA level.

**SG**: Pmm2, No. 25
**Calculated density**: 7.367 g cm⁻³

Cell lengths 3.7929, 4.6043, 11.3923 Å; angles 90.00, 90.00, 90.00 degrees
Last column: nearest neighbours and their distance in Å.
Element x y z (fractional)
Pm 0.5000 0.0000 0.6512  7 Zn 3.13-3.17
Pm 0.5000 0.5000 0.3472  6 Zn 3.12-3.15, 1 Pd 3.14
Pm 0.0000 0.0000 0.1427  3 Zn 3.09-3.26, 4 Pd 3.09
Pm 0.0000 0.5000 0.8613  2 Pd 3.05, 5 Zn 3.08-3.34
Pd 0.5000 0.5000 0.0715  2 Zn 2.82, 7 Pm 3.05-3.14
Zn 0.0000 0.5000 0.5684  2 Zn 2.80, 4 Pm 3.13
Zn 0.5000 0.0000 0.9288  2 Pd 2.82, 6 Pm 3.08-3.09
Zn 0.0000 0.0000 0.4288  2 Zn 2.80, 4 Pm 3.12



Which is most stable? The ranking, best first, is entry A, entry B.



Entry A
Below is a relaxed structure of PmZnPd4, with properties calculated at the PBE-GGA level.

**SG**: Pmma, No. 51
**Calculated density**: 9.842 g cm⁻³

Cell lengths 4.1015, 7.0005, 7.4759 Å; angles 90.00, 90.00, 90.00 degrees
Last column: nearest neighbours and their distance in Å.
Element x y z (fractional)
Pd 0.0000 0.0000 0.5000  2 Zn 2.47
Pd 0.0000 0.0000 0.0000  2 Zn 2.47
Pd 0.5000 0.3088 0.5506  2 Zn 2.59, 2 Pd 2.78-2.86
Pd 0.5000 0.0391 0.2500  8 Pd 2.79-2.93, 2 Zn 2.79, 2 Pm 2.96
Pd 0.5000 0.6912 0.4494  2 Zn 2.59, 2 Pd 2.78-2.86
Pd 0.5000 0.3088 0.9494  2 Zn 2.59, 2 Pd 2.78-2.86
Pd 0.5000 0.6912 0.0506  2 Zn 2.59, 2 Pd 2.78-2.86
Pd 0.5000 0.9609 0.7500  8 Pd 2.79-2.93, 2 Zn 2.79, 2 Pm 2.96
Pm 0.0000 0.6563 0.7500  8 Pd 2.96-3.05, 1 Zn 2.98
Pm 0.0000 0.3437 0.2500  8 Pd 2.96-3.05, 1 Zn 2.98
Zn 0.0000 0.7687 0.2500  6 Pd 2.47-2.59
Zn 0.0000 0.2313 0.7500  6 Pd 2.47-2.59



Entry B
Below is a relaxed structure of PmZnPd4, with properties calculated at the PBE-GGA level.

**SG**: F-43m, No. 216
**Calculated density**: 9.715 g cm⁻³

Cell lengths 5.3573, 5.3573, 5.3573 Å; angles 60.00, 60.00, 60.00 degrees
Last column: nearest neighbours and their distance in Å.
Element x y z (fractional)
Pm 0.2500 0.2500 0.2500  12 Pd 3.14, 4 Zn 3.28
Pd 0.6256 0.6256 0.1231  6 Pd 2.66-2.69
Pd 0.6256 0.1231 0.6256  6 Pd 2.66-2.69
Pd 0.6256 0.6256 0.6256  6 Pd 2.66-2.69
Pd 0.1231 0.6256 0.6256  6 Pd 2.66-2.69
Zn 0.0000 0.0000 0.0000  12 Pd 3.14, 4 Pm 3.28



Which is most stable? The ranking, best first, is entry A, entry B.



Entry A
Below is a relaxed structure of PmZnPd, with properties calculated at the PBE-GGA level.

**SG**: P-6m2, No. 187
**Calculated density**: 8.174 g cm⁻³

Cell lengths 3.7238, 4.4676, 4.4676 Å; angles 120.00, 90.00, 90.00 degrees
Last column: nearest neighbours and their distance in Å.
Element x y z (fractional)
Pd 0.1669 0.3333 0.6667  3 Zn 2.58
Zn 0.1666 0.0000 0.0000  3 Pd 2.58
Pm 0.6665 0.6667 0.3333  6 Pd 3.18, 6 Zn 3.18



Entry B
Below is a relaxed structure of PmZnPd, with properties calculated at the PBE-GGA level.

**SG**: I4mm, No. 107
**Calculated density**: 8.519 g cm⁻³

Cell lengths 3.5586, 3.5586, 5.4877 Å; angles 108.92, 108.92, 90.00 degrees
Last column: nearest neighbours and their distance in Å.
Element x y z (fractional)
Zn 0.2586 0.2586 0.5171  4 Pd 2.77, 1 Pm 2.99
Pd 0.6396 0.6396 0.2793  4 Zn 2.77, 1 Pm 3.04
Pm 0.9518 0.9518 0.9036  5 Zn 2.99-3.14, 5 Pd 3.04-3.11



Which is most stable? The ranking, best first, is entry A, entry B.